Record 1
A relaxed structure of La2CdSn3Au4. Source: the Alexandria database, functional PBE-GGA. Values from VASP.

## Properties
As for the space-group type: P-4m2, No. 115. The calculation puts the calculated formation energy at -0.61 eV/atom. As for the volume: 24.7 A^3/atom. The mass density comes out at 10.3 g cm⁻³. The value obtained for the total magnetization is 0.00 Bohr magnetons per cell.

Structure (Quantum ESPRESSO input):
```
&SYSTEM
  ibrav = 0, nat = 10, ntyp = 4
/
ATOMIC_SPECIES
La 138.91 La.upf
Cd 112.41 Cd.upf
Sn 118.71 Sn.upf
Au 196.97 Au.upf
CELL_PARAMETERS angstrom
4.626 0.000 0.000
0.000 4.626 0.000
0.000 0.000 11.518
ATOMIC_POSITIONS crystal
La 0.000 0.500 0.235
La 0.500 0.000 0.765
Cd 0.000 0.000 0.500
Sn 0.000 0.500 0.867
Sn 0.500 0.000 0.133
Sn 0.500 0.500 0.500
Au 0.000 0.000 0.000
Au 0.000 0.500 0.637
Au 0.500 0.000 0.363
Au 0.500 0.500 0.000
```

Record 2
A relaxed structure of La2CdSnAu6. Source: the Alexandria database, functional PBE-GGA. Values from VASP.

## Properties
As for the space-group type: P-1, No. 2. The calculation puts the calculated formation energy at -0.47 eV/atom. As for the volume: 24.1 A^3/atom. The mass density comes out at 11.7 g cm⁻³. The value obtained for the total magnetization is 0.00 Bohr magnetons per cell.

Structure (Quantum ESPRESSO input):
```
&SYSTEM
  ibrav = 0, nat = 10, ntyp = 4
/
ATOMIC_SPECIES
La 138.91 La.upf
Cd 112.41 Cd.upf
Sn 118.71 Sn.upf
Au 196.97 Au.upf
CELL_PARAMETERS angstrom
5.510 0.000 0.000
2.155 6.500 0.000
2.470 0.470 6.722
ATOMIC_POSITIONS crystal
La 0.004 0.261 0.258
La 0.996 0.739 0.742
Cd 0.500 0.000 0.500
Sn 0.500 0.500 0.000
Au 0.008 0.747 0.282
Au 0.338 0.934 0.915
Au 0.483 0.343 0.669
Au 0.517 0.657 0.331
Au 0.662 0.066 0.085
Au 0.992 0.253 0.718
```

Record 3
A relaxed structure of SrLaCdAu. Source: the Alexandria database, functional PBE-GGA. Values from VASP.

## Properties
As for the space-group type: P4mm, No. 99. The calculation puts the calculated formation energy at -0.55 eV/atom. As for the volume: 29.9 A^3/atom. The mass density comes out at 7.5 g cm⁻³. The value obtained for the total magnetization is 0.00 Bohr magnetons per cell.

Structure (Quantum ESPRESSO input):
```
&SYSTEM
  ibrav = 0, nat = 4, ntyp = 4
/
ATOMIC_SPECIES
Sr 87.62 Sr.upf
La 138.91 La.upf
Cd 112.41 Cd.upf
Au 196.97 Au.upf
CELL_PARAMETERS angstrom
3.893 0.000 0.000
0.000 3.893 0.000
0.000 0.000 7.882
ATOMIC_POSITIONS crystal
Sr 0.000 0.000 0.000
La 0.000 0.000 0.467
Cd 0.500 0.500 0.723
Au 0.500 0.500 0.263
```

Record 4
A relaxed structure of LaThCdAu. Source: the Alexandria database, functional PBE-GGA. Values from VASP.

## Properties
As for the space-group type: F-43m, No. 216. The calculation puts the calculated formation energy at -0.36 eV/atom. As for the volume: 27.7 A^3/atom. The mass density comes out at 10.2 g cm⁻³. The value obtained for the total magnetization is 2.12 Bohr magnetons per cell.

Structure (Quantum ESPRESSO input):
```
&SYSTEM
  ibrav = 0, nat = 16, ntyp = 4
/
ATOMIC_SPECIES
La 138.91 La.upf
Th 232.04 Th.upf
Cd 112.41 Cd.upf
Au 196.97 Au.upf
CELL_PARAMETERS angstrom
7.625 0.000 0.000
0.000 7.625 0.000
0.000 0.000 7.625
ATOMIC_POSITIONS crystal
La 0.000 0.000 0.000
La 0.000 0.500 0.500
La 0.500 0.000 0.500
La 0.500 0.500 0.000
Th 0.000 0.000 0.500
Th 0.000 0.500 0.000
Th 0.500 0.000 0.000
Th 0.500 0.500 0.500
Cd 0.250 0.250 0.250
Cd 0.250 0.750 0.750
Cd 0.750 0.250 0.750
Cd 0.750 0.750 0.250
Au 0.250 0.250 0.750
Au 0.250 0.750 0.250
Au 0.750 0.250 0.250
Au 0.750 0.750 0.750
```

Record 5
A relaxed structure of La4TlCd2Au. Source: the Alexandria database, functional PBE-GGA. Values from VASP.

## Properties
As for the space-group type: R-3m, No. 166. The calculation puts the calculated formation energy at -0.46 eV/atom. As for the volume: 29.7 A^3/atom. The mass density comes out at 8.2 g cm⁻³. The value obtained for the total magnetization is 0.01 Bohr magnetons per cell.

Structure (Quantum ESPRESSO input):
```
&SYSTEM
  ibrav = 0, nat = 8, ntyp = 4
/
ATOMIC_SPECIES
La 138.91 La.upf
Tl 204.38 Tl.upf
Cd 112.41 Cd.upf
Au 196.97 Au.upf
CELL_PARAMETERS angstrom
2.763 1.595 8.995
-2.763 1.595 8.995
0.000 -3.191 8.995
ATOMIC_POSITIONS crystal
La 0.119 0.119 0.119
La 0.369 0.369 0.369
La 0.631 0.631 0.631
La 0.881 0.881 0.881
Tl 0.500 0.500 0.500
Cd 0.244 0.244 0.244
Cd 0.756 0.756 0.756
Au 0.000 0.000 0.000
```

Record 6
A relaxed structure of LaTlCdAu. Source: the Alexandria database, functional PBE-GGA. Values from VASP.

## Properties
As for the space-group type: F-43m, No. 216. The calculation puts the calculated formation energy at -0.47 eV/atom. As for the volume: 25.3 A^3/atom. The mass density comes out at 10.7 g cm⁻³. The value obtained for the total magnetization is 0.00 Bohr magnetons per cell.

Structure (Quantum ESPRESSO input):
```
&SYSTEM
  ibrav = 0, nat = 16, ntyp = 4
/
ATOMIC_SPECIES
La 138.91 La.upf
Tl 204.38 Tl.upf
Cd 112.41 Cd.upf
Au 196.97 Au.upf
CELL_PARAMETERS angstrom
7.396 0.000 0.000
0.000 7.396 0.000
0.000 0.000 7.396
ATOMIC_POSITIONS crystal
La 0.000 0.000 0.000
La 0.000 0.500 0.500
La 0.500 0.000 0.500
La 0.500 0.500 0.000
Tl 0.250 0.250 0.750
Tl 0.250 0.750 0.250
Tl 0.750 0.250 0.250
Tl 0.750 0.750 0.750
Cd 0.000 0.000 0.500
Cd 0.000 0.500 0.000
Cd 0.500 0.000 0.000
Cd 0.500 0.500 0.500
Au 0.250 0.250 0.250
Au 0.250 0.750 0.750
Au 0.750 0.250 0.750
Au 0.750 0.750 0.250
```

Record 7
A relaxed structure of LaTmCdAu. Source: the Alexandria database, functional PBE-GGA. Values from VASP.

## Properties
As for the space-group type: F-43m, No. 216. The calculation puts the calculated formation energy at -0.52 eV/atom. As for the volume: 26.3 A^3/atom. The mass density comes out at 9.8 g cm⁻³. The value obtained for the total magnetization is 0.00 Bohr magnetons per cell.

Structure (Quantum ESPRESSO input):
```
&SYSTEM
  ibrav = 0, nat = 16, ntyp = 4
/
ATOMIC_SPECIES
La 138.91 La.upf
Tm 168.93 Tm.upf
Cd 112.41 Cd.upf
Au 196.97 Au.upf
CELL_PARAMETERS angstrom
7.491 0.000 0.000
0.000 7.491 0.000
0.000 0.000 7.491
ATOMIC_POSITIONS crystal
La 0.000 0.000 0.000
La 0.000 0.500 0.500
La 0.500 0.000 0.500
La 0.500 0.500 0.000
Tm 0.000 0.000 0.500
Tm 0.000 0.500 0.000
Tm 0.500 0.000 0.000
Tm 0.500 0.500 0.500
Cd 0.250 0.250 0.750
Cd 0.250 0.750 0.250
Cd 0.750 0.250 0.250
Cd 0.750 0.750 0.750
Au 0.250 0.250 0.250
Au 0.250 0.750 0.750
Au 0.750 0.250 0.750
Au 0.750 0.750 0.250
```

Record 8
A relaxed structure of LaTm2CdAu4. Source: the Alexandria database, functional PBE-GGA. Values from VASP.

## Properties
As for the space-group type: R-3m, No. 166. The calculation puts the calculated formation energy at -0.73 eV/atom. As for the volume: 23.3 A^3/atom. The mass density comes out at 12.3 g cm⁻³. The value obtained for the total magnetization is 0.00 Bohr magnetons per cell.

Structure (Quantum ESPRESSO input):
```
&SYSTEM
  ibrav = 0, nat = 8, ntyp = 4
/
ATOMIC_SPECIES
La 138.91 La.upf
Tm 168.93 Tm.upf
Cd 112.41 Cd.upf
Au 196.97 Au.upf
CELL_PARAMETERS angstrom
2.482 1.433 8.750
-2.482 1.433 8.750
0.000 -2.865 8.750
ATOMIC_POSITIONS crystal
La 0.000 0.000 0.000
Tm 0.236 0.236 0.236
Tm 0.764 0.764 0.764
Cd 0.500 0.500 0.500
Au 0.120 0.120 0.120
Au 0.388 0.388 0.388
Au 0.612 0.612 0.612
Au 0.880 0.880 0.880
```